No. 1
Material: Sm3SnRh4
Method: DFT, PBE
State: relaxed

```
data_Sm3SnRh4
_chemical_formula_sum 'Sm3 Sn1 Rh4'
_symmetry_space_group_name_H-M 'P 1'
_symmetry_Int_Tables_number 1
_symmetry_space_group_name_Hall 'P 1'
_cell_length_a 6.423
_cell_length_b 6.423
_cell_length_c 6.423
_cell_angle_alpha 82.05
_cell_angle_beta 125.13
_cell_angle_gamma 124.26
loop_
_atom_site_label
_atom_site_fract_x
_atom_site_fract_y
_atom_site_fract_z
Rh1 0.118 0.223 0.341
Sn1 0.170 0.500 0.670
Rh2 0.118 0.777 0.895
Rh3 0.122 0.780 0.341
Sm1 0.603 0.302 0.906
Rh4 0.561 0.220 0.341
Sm2 0.855 0.000 0.855
Sm3 0.603 0.698 0.301
```

Summary:
The calculation puts the energy relative to the elements at -0.56 eV per atom. Its crystal system is orthorhombic. As for the total magnetization: 0.00 μB per atom.



No. 2
Material: Y2OsW
Method: DFT, PBE
State: relaxed

```
data_Y2OsW
_chemical_formula_sum 'Y2 Os1 W1'
_symmetry_space_group_name_H-M 'P 1'
_symmetry_Int_Tables_number 1
_symmetry_space_group_name_Hall 'P 1'
_cell_length_a 5.551
_cell_length_b 5.551
_cell_length_c 3.073
_cell_angle_alpha 79.74
_cell_angle_beta 79.74
_cell_angle_gamma 115.99
loop_
_atom_site_label
_atom_site_fract_x
_atom_site_fract_y
_atom_site_fract_z
Os1 0.500 0.000 0.500
Y1 0.500 0.500 0.000
W1 0.000 0.500 0.500
Y2 0.000 0.000 0.000
```

Summary:
The calculation puts the energy relative to the elements at 0.54 eV per atom. Its crystal system is monoclinic. As for the total magnetization: 0.00 μB per atom. As for the energy above the most stable polymorph in this dataset: 1.97 eV per formula unit.



No. 3
Material: MgBrCl2
Method: DFT, PBE
State: relaxed

```
data_MgBrCl2
_chemical_formula_sum 'Mg1 Br1 Cl2'
_symmetry_space_group_name_H-M 'P 1'
_symmetry_Int_Tables_number 1
_symmetry_space_group_name_Hall 'P 1'
_cell_length_a 3.163
_cell_length_b 3.163
_cell_length_c 11.123
_cell_angle_alpha 90.00
_cell_angle_beta 90.00
_cell_angle_gamma 90.00
loop_
_atom_site_label
_atom_site_fract_x
_atom_site_fract_y
_atom_site_fract_z
Cl1 0.000 0.000 0.386
Br1 0.500 0.500 0.750
Cl2 0.000 0.000 0.114
Mg1 0.500 0.500 0.250
```

Summary:
Its crystal system is tetragonal. For the formation energy (no corrections), the calculation gives -959 meV per atom. As for the total magnetization: 0.00 μB per atom. As for the energy above the most stable polymorph in this dataset: 0.91 eV per formula unit.



No. 4
Material: SrNb3NO7
Method: DFT, PBE
State: relaxed

```
data_SrNb3NO7
_chemical_formula_sum 'Sr2 Nb6 N2 O14'
_symmetry_space_group_name_H-M 'P 1'
_symmetry_Int_Tables_number 1
_symmetry_space_group_name_Hall 'P 1'
_cell_length_a 10.584
_cell_length_b 10.584
_cell_length_c 9.006
_cell_angle_alpha 89.49
_cell_angle_beta 89.49
_cell_angle_gamma 20.87
loop_
_atom_site_label
_atom_site_fract_x
_atom_site_fract_y
_atom_site_fract_z
Nb1 0.241 0.241 0.753
N1 0.844 0.844 0.093
O1 0.146 0.146 0.598
Nb2 0.375 0.375 0.438
Nb3 0.634 0.634 0.543
O2 0.563 0.563 0.422
N2 0.427 0.427 0.254
O3 0.848 0.848 0.415
Nb4 0.624 0.624 0.938
O4 0.148 0.148 0.913
Nb5 0.376 0.376 0.065
O5 0.572 0.572 0.758
O6 0.701 0.701 0.405
O7 0.294 0.294 0.594
O8 0.437 0.437 0.583
Sr1 0.018 0.018 0.254
Nb6 0.765 0.765 0.228
O9 0.562 0.562 0.083
O10 0.285 0.285 0.264
O11 0.296 0.296 0.906
Sr2 0.980 0.980 0.750
O12 0.707 0.707 0.750
O13 0.439 0.439 0.919
O14 0.701 0.701 0.089
```

Summary:
Its crystal system is monoclinic. For the formation energy (no corrections), the calculation gives -2414 meV per atom. As for the total magnetization: 0.00 μB per atom.



- Number 4 is which compound?
  SrNb3NO7



- Which formula does entry 4 have?
  SrNb3NO7